A plane-wave DFT calculation with PBE with a Hubbard U was carried out for a relaxed BaV2CuO7 crystal.

Cell lengths 5.579, 7.591, 15.353 Å; angles 90.00, 90.00, 90.00 degrees
Last column: magnetic moment on the atom in μB.
Element x y z (fractional)
Ba  0.250  0.882  0.300  0.00
Ba  0.750  0.118  0.700  0.00
Ba  0.750  0.382  0.200  0.00
Ba  0.250  0.618  0.800  0.00
V  0.250  0.887  0.591  0.03
V  0.750  0.113  0.409  0.03
V  0.750  0.387  0.909  0.03
V  0.250  0.613  0.091  0.03
V  0.250  0.141  0.106  0.00
V  0.750  0.859  0.894  0.00
V  0.750  0.641  0.394  0.00
V  0.250  0.359  0.606  0.00
Cu  0.250  0.384  0.367  0.56
Cu  0.750  0.616  0.633  0.56
Cu  0.750  0.884  0.133  0.56
Cu  0.250  0.116  0.867  0.56
O  0.250  0.420  0.503  0.03
O  0.750  0.580  0.497  0.03
O  0.750  0.920  0.997  0.03
O  0.250  0.080  0.003  0.03
O  0.250  0.120  0.626  0.00
O  0.750  0.880  0.374  0.00
O  0.750  0.620  0.874  0.00
O  0.250  0.380  0.126  0.00
O  0.250  0.861  0.483  0.03
O  0.750  0.139  0.517  0.03
O  0.750  0.361  0.017  0.03
O  0.250  0.639  0.983  0.03
O  0.502  0.798  0.643  0.06
O  0.002  0.202  0.357  0.06
O  0.498  0.298  0.857  0.06
O  0.998  0.702  0.143  0.06
O  0.498  0.202  0.357  0.06
O  0.998  0.798  0.643  0.06
O  0.502  0.702  0.143  0.06
O  0.002  0.298  0.857  0.06
O  0.498  0.561  0.337  0.07
O  0.998  0.439  0.663  0.07
O  0.502  0.061  0.163  0.07
O  0.002  0.939  0.837  0.07
O  0.502  0.439  0.663  0.07
O  0.002  0.561  0.337  0.07
O  0.498  0.939  0.837  0.07
O  0.998  0.061  0.163  0.07

Output
V = 650.20 Å³ per cell
M_tot = 3.793 Bohr magnetons per cell
Energy = -6.971 eV per atom